Entry 1:
VASP calculation (PBE) on a relaxed structure of TlCuS3.

Geometry as POSCAR:
```
TlCuS3
1.0
4.650 0.000 0.000
0.000 4.650 0.000
0.000 0.000 4.650
Tl Cu S
1 1 3
direct
0.000 0.000 0.000 Tl
0.500 0.500 0.500 Cu
0.000 0.500 0.500 S
0.500 0.000 0.500 S
0.500 0.500 0.000 S
```

Calculated density, g/cm³: 6.014
E_form (uncorrected), kJ per mole of atoms: 34.1
Total energy, eV per atom: -3.416
Fermi-level density of states, states/eV/f.u.: 6.600
Offset from the most stable computed form, eV per atom: 0.470



Entry 2:
VASP calculation (PBE) on a relaxed structure of RbTl5Cd2In.

Geometry as POSCAR:
```
RbTl5Cd2In
1.0
5.092 0.000 0.000
0.000 5.092 0.000
0.000 0.000 13.309
Rb Tl Cd In
1 5 2 1
direct
0.000 0.000 0.000 Rb
0.000 0.500 0.353 Tl
0.000 0.500 0.647 Tl
0.500 0.000 0.353 Tl
0.500 0.000 0.647 Tl
0.500 0.500 0.000 Tl
0.500 0.500 0.216 Cd
0.500 0.500 0.784 Cd
0.500 0.500 0.500 In
```

Calculated density, g/cm³: 6.962
Energy of formation from the pure elements, eV per atom: 0.16
Total energy, eV per atom: -1.770
Fermi-level density of states, states/eV/f.u.: 6.298



Entry 3:
VASP calculation (PBE) on a relaxed structure of Ag2AuS.

Geometry as POSCAR:
```
Ag2AuS
1.0
3.560 0.000 0.000
0.000 3.560 0.000
0.000 0.000 5.668
Ag Au S
2 1 1
direct
0.000 0.000 0.246 Ag
0.000 0.000 0.754 Ag
0.500 0.500 0.500 Au
0.500 0.500 0.000 S
```

Calculated density, g/cm³: 10.282
E_form (uncorrected), kJ per mole of atoms: 12.8
Total energy, eV per atom: -3.144
Fermi-level density of states, states/eV/f.u.: 1.104



Entry 4:
VASP calculation (PBE) on a relaxed structure of Te2AsP.

Geometry as POSCAR:
```
Te2AsP
1.0
-1.637 2.576 8.492
1.637 -2.576 8.492
1.637 2.576 -8.492
Te As P
2 1 1
direct
0.000 0.000 0.000 Te
0.579 0.079 0.500 Te
0.329 0.329 0.000 As
0.239 0.739 0.500 P
```

Calculated density, g/cm³: 4.186
E_form (uncorrected), kJ per mole of atoms: 27.5
Total energy, eV per atom: -3.801
Fermi-level density of states, states/eV/f.u.: 1.588
Offset from the most stable computed form, eV per atom: 0.148



Entry 5:
VASP calculation (PBE) on a relaxed structure of CeNdGe2.

Geometry as POSCAR:
```
CeNdGe2
1.0
4.075 0.000 0.000
0.000 2.233 5.525
0.000 -2.233 5.525
Ce Nd Ge
1 1 2
direct
0.000 0.000 0.000 Ce
0.500 0.725 0.725 Nd
0.000 0.281 0.281 Ge
0.500 0.445 0.445 Ge
```

Calculated density, g/cm³: 7.096
Energy of formation from the pure elements, eV per atom: -0.77
Total energy, eV per atom: -5.751
Fermi-level density of states, states/eV/f.u.: 7.631



Entry 6:
VASP calculation (PBE) on a relaxed structure of IrAuSe2.

Geometry as POSCAR:
```
IrAuSe2
1.0
6.089 -5.339 0.000
6.089 5.339 0.000
-4.036 0.000 10.483
Ir Au Se
8 8 16
direct
0.031 0.734 0.758 Ir
0.073 0.275 0.890 Ir
0.266 0.969 0.742 Ir
0.275 0.073 0.390 Ir
0.725 0.927 0.610 Ir
0.734 0.031 0.258 Ir
0.927 0.725 0.110 Ir
0.969 0.266 0.242 Ir
0.031 0.585 0.405 Au
0.325 0.377 0.577 Au
0.377 0.325 0.077 Au
0.415 0.969 0.095 Au
0.585 0.031 0.905 Au
0.623 0.675 0.923 Au
0.675 0.623 0.423 Au
0.969 0.415 0.595 Au
0.011 0.866 0.571 Se
0.094 0.596 0.941 Se
0.134 0.989 0.929 Se
0.219 0.781 0.250 Se
0.264 0.348 0.323 Se
0.346 0.654 0.750 Se
0.348 0.264 0.823 Se
0.404 0.906 0.559 Se
0.596 0.094 0.441 Se
0.652 0.736 0.177 Se
0.654 0.346 0.250 Se
0.736 0.652 0.677 Se
0.781 0.219 0.750 Se
0.866 0.011 0.071 Se
0.906 0.404 0.059 Se
0.989 0.134 0.429 Se
```

Calculated density, g/cm³: 10.663
E_form (uncorrected), kJ per mole of atoms: 2.3
Total energy, eV per atom: -4.753
Fermi-level density of states, states/eV/f.u.: 1.218



Entry 7:
VASP calculation (PBE) on a relaxed structure of TcSnIrOsS.

Geometry as POSCAR:
```
TcSnIrOsS
1.0
4.470 -1.443 0.000
4.470 1.443 0.000
-2.765 0.000 6.756
Tc Sn Ir Os S
1 1 1 1 1
direct
0.000 0.000 0.000 Tc
0.901 0.901 0.561 Sn
0.556 0.556 0.333 Ir
0.774 0.774 0.153 Os
0.261 0.261 0.896 S
```

Calculated density, g/cm³: 12.028
E_form (uncorrected), kJ per mole of atoms: 11.4
Total energy, eV per atom: -7.599
Fermi-level density of states, states/eV/f.u.: 2.944
Offset from the most stable computed form, eV per atom: 0.053



Entry 8:
VASP calculation (PBE) on a relaxed structure of PrNdHo2.

Geometry as POSCAR:
```
PrNdHo2
1.0
1.813 1.047 11.712
-1.813 1.047 11.712
0.000 -2.093 11.712
Pr Nd Ho
1 1 2
direct
0.000 0.000 0.000 Pr
0.834 0.834 0.834 Nd
0.250 0.250 0.250 Ho
0.418 0.418 0.418 Ho
```

Calculated density, g/cm³: 7.660
Energy of formation from the pure elements, eV per atom: 0.02
Total energy, eV per atom: -4.654
Fermi-level density of states, states/eV/f.u.: 5.598
Offset from the most stable computed form, eV per atom: 0.009